1.
Below is crystalline Ga3PBr at its relaxed geometry, with properties calculated at the PBE level. Values from VASP.

Values from the calculation:
Relative energy among the computed polymorphs = 0.646 eV/atom
Space group = Pm-3m
Density = 3.11 g/cm3
Total energy = -12.35 eV per cell
DOS(E_F) = 3.66 states/eV/f.u.

```
&SYSTEM
  ibrav = 0, nat = 5, ntyp = 3
/
ATOMIC_SPECIES
Ga 69.72 Ga.upf
P 30.97 P.upf
Br 79.90 Br.upf
ATOMIC_POSITIONS crystal
Ga 0.000 0.500 0.000
Ga 0.000 0.000 0.500
Ga 0.500 0.000 0.000
P 0.500 0.500 0.500
Br 0.000 0.000 0.000
CELL_PARAMETERS angstrom
5.547 0.000 0.000
0.000 5.547 0.000
0.000 0.000 5.547
```

=====

2.
Below is crystalline Ga3PBr at its relaxed geometry, with properties calculated at the PBE level. Values from VASP.

Values from the calculation:
Relative energy among the computed polymorphs = 0.000 eV/atom
Space group = Pm-3m
Density = 4.24 g/cm3
Total energy = -15.58 eV per cell
DOS(E_F) = 1.77 states/eV/f.u.

```
&SYSTEM
  ibrav = 0, nat = 5, ntyp = 3
/
ATOMIC_SPECIES
P 30.97 P.upf
Ga 69.72 Ga.upf
Br 79.90 Br.upf
ATOMIC_POSITIONS crystal
P 0.000 0.000 0.000
Ga 0.000 0.000 0.500
Ga 0.000 0.500 0.000
Ga 0.500 0.000 0.000
Br 0.500 0.500 0.500
CELL_PARAMETERS angstrom
5.004 0.000 0.000
0.000 5.004 0.000
0.000 0.000 5.004
```

=====

3.
Below is crystalline Pm6GaP2Br3 at its relaxed geometry, with properties calculated at the PBE level. Values from VASP.

Values from the calculation:
Space group = C2/m
Density = 6.25 g/cm3
Total energy = -62.92 eV per cell
DOS(E_F) = 6.01 states/eV/f.u.

```
&SYSTEM
  ibrav = 0, nat = 12, ntyp = 4
/
ATOMIC_SPECIES
Pm 145.00 Pm.upf
Br 79.90 Br.upf
P 30.97 P.upf
Ga 69.72 Ga.upf
ATOMIC_POSITIONS crystal
Pm 0.341 0.886 0.682
Pm 0.659 0.114 0.318
Pm 0.989 0.763 0.978
Pm 0.322 0.442 0.644
Pm 0.011 0.237 0.022
Pm 0.678 0.558 0.356
Br 0.500 0.500 0.000
Br 0.833 0.167 0.667
Br 0.167 0.833 0.333
P 0.833 0.664 0.665
P 0.167 0.336 0.335
Ga 0.500 0.000 0.000
CELL_PARAMETERS angstrom
-3.221 -2.549 0.658
-1.237 -0.664 -8.618
7.591 -5.665 2.063
```

=====

4.
Below is crystalline Pm8Ga3PBr4 at its relaxed geometry, with properties calculated at the PBE level. Values from VASP.

Values from the calculation:
Space group = R-3m
Density = 6.35 g/cm3
Total energy = -75.87 eV per cell
DOS(E_F) = 8.53 states/eV/f.u.

```
&SYSTEM
  ibrav = 0, nat = 16, ntyp = 4
/
ATOMIC_SPECIES
Pm 145.00 Pm.upf
Br 79.90 Br.upf
Ga 69.72 Ga.upf
P 30.97 P.upf
ATOMIC_POSITIONS crystal
Pm 0.764 0.284 0.020
Pm 0.236 0.716 0.472
Pm 0.741 0.724 0.483
Pm 0.764 0.284 0.528
Pm 0.256 0.284 0.020
Pm 0.744 0.716 0.980
Pm 0.236 0.716 0.980
Pm 0.259 0.276 0.517
Br 0.000 0.000 0.500
Br 0.500 0.000 0.500
Br 0.000 0.000 0.000
Br 0.500 0.000 0.000
Ga 0.500 0.500 0.500
Ga 0.000 0.500 0.500
Ga 0.500 0.500 0.000
P 0.000 0.500 0.000
CELL_PARAMETERS angstrom
-6.722 -5.197 -0.421
4.608 -5.568 -4.837
3.031 2.430 7.565
```

=====

5.
Below is crystalline Pm4GaPBr2 at its relaxed geometry, with properties calculated at the PBE level. Values from VASP.

Values from the calculation:
Space group = P2/m
Density = 6.27 g/cm3
Total energy = -40.34 eV per cell
DOS(E_F) = 4.70 states/eV/f.u.

```
&SYSTEM
  ibrav = 0, nat = 8, ntyp = 4
/
ATOMIC_SPECIES
Br 79.90 Br.upf
Ga 69.72 Ga.upf
P 30.97 P.upf
Pm 145.00 Pm.upf
ATOMIC_POSITIONS crystal
Br 0.000 0.500 0.500
Br 0.500 0.000 0.500
Ga 0.000 0.000 0.000
P 0.500 0.500 0.000
Pm 0.000 0.731 0.207
Pm 0.500 0.243 0.214
Pm 0.000 0.269 0.793
Pm 0.500 0.757 0.786
CELL_PARAMETERS angstrom
4.216 0.000 0.000
0.000 7.268 0.106
0.000 -2.567 7.222
```

=====

6.
Below is crystalline Pr8GaP3Br4 at its relaxed geometry, with properties calculated at the PBE level. Values from VASP.

Values from the calculation:
Space group = R-3m
Density = 5.82 g/cm3
Total energy = -85.90 eV per cell
DOS(E_F) = 7.16 states/eV/f.u.

```
&SYSTEM
  ibrav = 0, nat = 16, ntyp = 4
/
ATOMIC_SPECIES
Pr 140.91 Pr.upf
Br 79.90 Br.upf
P 30.97 P.upf
Ga 69.72 Ga.upf
ATOMIC_POSITIONS crystal
Pr 0.730 0.708 0.969
Pr 0.270 0.292 0.031
Pr 0.266 0.298 0.532
Pr 0.239 0.708 0.477
Pr 0.761 0.292 0.523
Pr 0.239 0.708 0.969
Pr 0.761 0.292 0.031
Pr 0.734 0.702 0.468
Br 0.000 0.000 0.500
Br 0.000 0.000 0.000
Br 0.500 0.000 0.500
Br 0.500 0.000 0.000
P 0.500 0.500 0.500
P 0.000 0.500 0.500
P 0.500 0.500 0.000
Ga 0.000 0.500 0.000
CELL_PARAMETERS angstrom
8.453 0.000 0.000
0.000 8.877 0.296
-4.227 -4.224 5.978
```

=====

7.
Below is crystalline Pr4GaPBr2 at its relaxed geometry, with properties calculated at the PBE level. Values from VASP.

Values from the calculation:
Space group = P2/m
Density = 5.87 g/cm3
Total energy = -40.54 eV per cell
DOS(E_F) = 4.80 states/eV/f.u.

```
&SYSTEM
  ibrav = 0, nat = 8, ntyp = 4
/
ATOMIC_SPECIES
Pr 140.91 Pr.upf
P 30.97 P.upf
Br 79.90 Br.upf
Ga 69.72 Ga.upf
ATOMIC_POSITIONS crystal
Pr 0.500 0.244 0.216
Pr 0.000 0.731 0.208
Pr 0.000 0.269 0.792
Pr 0.500 0.756 0.784
P 0.500 0.500 0.000
Br 0.000 0.500 0.500
Br 0.500 0.000 0.500
Ga 0.000 0.000 0.000
CELL_PARAMETERS angstrom
-0.638 -3.870 1.703
6.075 -2.478 -3.355
1.980 2.766 7.027
```

=====

8.
Below is crystalline Pr8Ga3PBr4 at its relaxed geometry, with properties calculated at the PBE level. Values from VASP.

Values from the calculation:
Space group = R-3m
Density = 5.95 g/cm3
Total energy = -76.30 eV per cell
DOS(E_F) = 8.67 states/eV/f.u.

```
&SYSTEM
  ibrav = 0, nat = 16, ntyp = 4
/
ATOMIC_SPECIES
P 30.97 P.upf
Pr 140.91 Pr.upf
Br 79.90 Br.upf
Ga 69.72 Ga.upf
ATOMIC_POSITIONS crystal
P 0.000 0.500 0.000
Pr 0.745 0.718 0.982
Pr 0.237 0.718 0.473
Pr 0.236 0.718 0.982
Pr 0.764 0.282 0.018
Pr 0.742 0.726 0.484
Pr 0.258 0.274 0.516
Pr 0.763 0.282 0.527
Pr 0.255 0.282 0.018
Br 0.500 0.000 0.000
Br 0.000 0.000 0.500
Br 0.500 0.000 0.500
Br 0.000 0.000 0.000
Ga 0.500 0.500 0.000
Ga 0.000 0.500 0.500
Ga 0.500 0.500 0.500
CELL_PARAMETERS angstrom
8.629 0.000 0.000
0.000 8.841 0.147
-4.314 -4.310 6.101
```